Entry from Alexandria via LeMat-Bulk: a relaxed La15TbNd4 crystal (PBE).

Computed properties:
formation energy from the elements: 10 meV per atom
E: -97.41 eV/cell

Cell and atoms, written as POSCAR:
```
La15TbNd4
1.0
-0.449 4.250 -3.031
-1.882 -2.969 -3.885
-24.446 3.796 8.943
La Nd Tb
15 4 1
direct
0.500 0.000 0.701 La
0.000 0.500 0.299 La
0.500 0.000 0.099 La
0.000 0.500 0.701 La
0.000 0.500 0.500 La
0.500 0.500 0.400 La
0.500 0.500 0.199 La
0.000 0.500 0.901 La
0.000 0.500 0.099 La
0.500 0.000 0.901 La
0.500 0.500 0.801 La
0.500 0.500 0.000 La
0.500 0.000 0.500 La
0.500 0.500 0.600 La
0.500 0.000 0.299 La
0.000 0.000 0.400 Nd
0.000 0.000 0.801 Nd
0.000 0.000 0.600 Nd
0.000 0.000 0.199 Nd
0.000 0.000 0.000 Tb
```